# 1
{
  "formula": "HfOs3F",
  "functional": "PBE-GGA",
  "state": "optimized geometry",
  "space_group": "Pm-3m",
  "total_energy_ev_per_atom": -8.215,
  "e_form_raw_ev_per_atom": 0.8879,
  "cell": [[4.2483, 0.0000, 0.0000], [0.0000, 4.2483, 0.0000], [0.0000, 0.0000, 4.2483]],
  "species": ["Hf", "Os", "Os", "Os", "F"],
  "fractional_positions": [[0.0000, 0.0000, 0.0000], [0.0000, 0.5000, 0.5000], [0.5000, 0.0000, 0.5000], [0.5000, 0.5000, 0.0000], [0.5000, 0.5000, 0.5000]]
}

***

# 2
{
  "formula": "K3SbCl7",
  "functional": "PBE-GGA",
  "state": "optimized geometry",
  "space_group": "Cm",
  "total_energy_ev_per_atom": -3.233,
  "e_form_raw_ev_per_atom": -1.3840,
  "cell": [[5.3128, -4.9790, 0.0000], [5.3128, 4.9790, 0.0000], [-3.3327, 0.0000, 7.1599]],
  "species": ["K", "K", "K", "Sb", "Cl", "Cl", "Cl", "Cl", "Cl", "Cl", "Cl"],
  "fractional_positions": [[0.0000, 0.0000, 0.0000], [0.2881, 0.7352, 0.5345], [0.7352, 0.2881, 0.5345], [0.4951, 0.4951, 0.0243], [0.1689, 0.5309, 0.8022], [0.3448, 0.3448, 0.2093], [0.4475, 0.8293, 0.2344], [0.5309, 0.1689, 0.8022], [0.6554, 0.6554, 0.8554], [0.8293, 0.4475, 0.2344], [0.9608, 0.9608, 0.6074]]
}

***

# 3
{
  "formula": "ScRe2Au",
  "functional": "PBE-GGA",
  "state": "optimized geometry",
  "space_group": "P4/mmm",
  "total_energy_ev_per_atom": -8.156,
  "formation_energy_mev_per_atom": 470,
  "cell": [[3.4004, 0.0000, 0.0000], [0.0000, 3.4004, 0.0000], [0.0000, 0.0000, 5.7572]],
  "species": ["Sc", "Re", "Re", "Au"],
  "fractional_positions": [[0.0000, 0.0000, 0.0000], [0.5000, 0.5000, 0.2435], [0.5000, 0.5000, 0.7565], [0.0000, 0.0000, 0.5000]]
}